A plane-wave DFT calculation with PBE-GGA was carried out for HfAgSCl2 after structural relaxation.

Output
**E_form (uncorrected)**: 346 meV/atom
**Total DFT energy (no corrections)**: -3.7795 eV per atom
**V**: 23.56 A^3/atom
**SG**: P4/mmm, No. 123
**DOS(E_F)**: 0.994 states/eV/atom
**Energy relative to the lowest polymorph listed for this composition**: 1126 meV/atom
**Size of the total moment**: 1.572 μB per cell

Cell lengths 4.8659, 4.8659, 4.9746 Å; angles 90.00, 90.00, 90.00 degrees
Each line ends with the local moment (μB).
Positions (direct):
Ag 0.0000 0.0000 0.0000  0.00
S 0.0000 0.0000 0.5000  -0.06
Cl 0.0000 0.5000 0.0000  -0.01
Hf 0.5000 0.5000 0.5000  1.08
Cl 0.5000 0.0000 0.0000  -0.01



A plane-wave DFT calculation with PBE-GGA was carried out for LiCeGe2 after structural relaxation.

Output
**Energy of formation**: -450.9 meV/atom
**Total DFT energy (no corrections)**: -4.7215 eV per atom
**V**: 22.69 A^3/atom
**SG**: Cmcm, No. 63
**DOS(E_F)**: 0.968 states/eV/atom
**Energy relative to the lowest polymorph listed for this composition**: 163 meV/atom
**Size of the total moment**: 1.101 μB per cell

Cell lengths 5.7237, 5.9361, 5.9361 Å; angles 115.84, 90.00, 90.00 degrees
Each line ends with the local moment (μB).
Positions (direct):
Ge 0.7500 0.8202 0.5671  0.01
Ce 0.7500 0.3445 0.6555  0.47
Li 0.5000 0.0000 0.0000  0.00
Ge 0.2500 0.1798 0.4329  0.01
Li 0.0000 0.0000 0.0000  0.00
Ge 0.2500 0.5671 0.8202  0.01
Ce 0.2500 0.6555 0.3445  0.47
Ge 0.7500 0.4329 0.1798  0.01



A plane-wave DFT calculation with PBE-GGA was carried out for TbPm6Nd3 after structural relaxation.

Output
**Energy of formation**: 256.3 meV/atom
**Total DFT energy (no corrections)**: -4.4874 eV per atom
**V**: 35.54 A^3/atom
**SG**: C2/m, No. 12
**DOS(E_F)**: 1.747 states/eV/atom
**Energy relative to the lowest polymorph listed for this composition**: 120 meV/atom
**Size of the total moment**: 0.000 μB per cell

Cell lengths 7.0560, 13.0532, 6.7734 Å; angles 129.48, 121.39, 90.00 degrees
Positions (direct):
Nd 0.0000 0.0000 0.0000
Pm 0.2850 0.3118 0.1122
Pm 0.1728 0.6882 0.8878
Pm 0.6681 0.0074 0.3361
Pm 0.7150 0.6882 0.8878
Nd 0.8044 0.3404 0.6088
Pm 0.3319 0.9926 0.6639
Pm 0.8272 0.3118 0.1122
Nd 0.1956 0.6596 0.3912
Tb 0.5000 0.5000 0.0000



A plane-wave DFT calculation with PBE-GGA was carried out for LaYTm2 after structural relaxation.

Output
**Energy of formation**: 24.2 meV/atom
**Total DFT energy (no corrections)**: -5.0594 eV per atom
**V**: 32.66 A^3/atom
**SG**: P2/c, No. 13
**DOS(E_F)**: 1.828 states/eV/atom
**Energy relative to the lowest polymorph listed for this composition**: 12 meV/atom
**Size of the total moment**: 0.007 μB per cell

Cell lengths 7.3155, 6.2428, 13.0350 Å; angles 118.61, 90.00, 90.00 degrees
Positions (direct):
Y 0.7585 0.9561 0.1242
La 0.4998 0.4527 0.1249
Tm 0.7584 0.0434 0.8741
Tm 0.9993 0.5416 0.8750
La 0.5002 0.5473 0.8751
Y 0.2415 0.4561 0.6242
Tm 0.2416 0.5434 0.3741
Tm 0.0007 0.4584 0.1250
Tm 0.9993 0.9584 0.6250
Tm 0.7584 0.4566 0.6259
Y 0.2415 0.0439 0.8758
La 0.5002 0.9527 0.6249
Tm 0.0007 0.0416 0.3750
La 0.4998 0.0473 0.3751
Y 0.7585 0.5439 0.3758
Tm 0.2416 0.9566 0.1259



A plane-wave DFT calculation with PBE-GGA was carried out for MnCd2Tc after structural relaxation.

Output
**Energy of formation**: 382.5 meV/atom
**Total DFT energy (no corrections)**: -4.9590 eV per atom
**V**: 17.35 A^3/atom
**SG**: Cm, No. 8
**DOS(E_F)**: 0.976 states/eV/atom
**Energy relative to the lowest polymorph listed for this composition**: 201 meV/atom
**Size of the total moment**: 3.021 μB per cell

Cell lengths 5.0251, 5.0251, 5.1219 Å; angles 77.20, 77.20, 33.47 degrees
Each line ends with the local moment (μB).
Positions (direct):
Cd 0.7595 0.7595 0.7495  -0.01
Mn 0.5185 0.5185 0.4675  3.12
Cd 0.9920 0.9920 0.0039  -0.03
Tc 0.2300 0.2300 0.2791  -0.19



A plane-wave DFT calculation with PBE-GGA was carried out for La3Pr2Sm4 after structural relaxation.

Output
**Energy of formation**: 62.6 meV/atom
**Total DFT energy (no corrections)**: -4.7394 eV per atom
**V**: 35.85 A^3/atom
**SG**: P3m1, No. 156
**DOS(E_F)**: 1.715 states/eV/atom
**Energy relative to the lowest polymorph listed for this composition**: 44 meV/atom
**Size of the total moment**: 0.000 μB per cell

Cell lengths 3.6754, 3.6754, 27.5792 Å; angles 90.00, 90.00, 120.00 degrees
Positions (direct):
La 0.0000 0.0000 0.3228
Pr 0.6667 0.3333 0.0929
Sm 0.6667 0.3333 0.4365
Pr 0.6667 0.3333 0.8691
Sm 0.0000 0.0000 0.7623
La 0.0000 0.0000 0.9843
Sm 0.6667 0.3333 0.2169
Sm 0.0000 0.0000 0.5405
La 0.6667 0.3333 0.6519



A plane-wave DFT calculation with PBE-GGA was carried out for RbSrSO4 after structural relaxation.

Output
**E_form (uncorrected)**: -1734 meV/atom
**Total DFT energy (no corrections)**: -5.5350 eV per atom
**V**: 17.52 A^3/atom
**SG**: P2_1/m, No. 11
**DOS(E_F)**: 0.055 states/eV/atom
**Size of the total moment**: 2.001 μB per cell

Cell lengths 5.4801, 5.9056, 8.3011 Å; angles 90.00, 114.07, 90.00 degrees
Each line ends with the local moment (μB).
Positions (direct):
O 0.0434 0.0259 0.7273  0.14
Sr 0.2211 0.2500 0.5160  0.03
Rb 0.5490 0.7500 0.8894  0.01
S 0.1216 0.7500 0.2674  0.20
O 0.6910 0.2500 0.5236  0.00
O 0.3090 0.7500 0.4764  0.00
Sr 0.7789 0.7500 0.4840  0.03
Rb 0.4510 0.2500 0.1106  0.01
O 0.9566 0.5259 0.2727  0.14
O 0.3636 0.7500 0.2044  0.17
O 0.9566 0.9741 0.2727  0.14
S 0.8784 0.2500 0.7326  0.20
O 0.6364 0.2500 0.7956  0.17
O 0.0434 0.4741 0.7273  0.14



A plane-wave DFT calculation with PBE-GGA was carried out for ScAlNi after structural relaxation.

Output
**Energy of formation**: -177.9 meV/atom
**Total DFT energy (no corrections)**: -5.4630 eV per atom
**V**: 17.14 A^3/atom
**SG**: P3m1, No. 156
**DOS(E_F)**: 0.647 states/eV/atom
**Size of the total moment**: 0.000 μB per cell

Cell lengths 3.1553, 3.1553, 5.9638 Å; angles 90.00, 90.00, 120.00 degrees
Positions (direct):
Ni 0.6667 0.3333 0.3188
Sc 0.3333 0.6667 0.6398
Al 0.0000 0.0000 0.0415



A plane-wave DFT calculation with PBE-GGA was carried out for LaPr6Tl after structural relaxation.

Output
**Energy of formation**: -81.0 meV/atom
**Total DFT energy (no corrections)**: -4.5773 eV per atom
**V**: 34.19 A^3/atom
**SG**: P4/mmm, No. 123
**DOS(E_F)**: 1.268 states/eV/atom
**Energy relative to the lowest polymorph listed for this composition**: 0 meV/atom
**Size of the total moment**: 0.000 μB per cell

Cell lengths 5.0834, 5.0834, 10.5838 Å; angles 90.00, 90.00, 90.00 degrees
Positions (direct):
Tl 0.0000 0.0000 0.0000
Pr 0.5000 0.5000 0.5000
La 0.0000 0.0000 0.5000
Pr 0.5000 0.0000 0.2408
Pr 0.0000 0.5000 0.7592
Pr 0.5000 0.5000 0.0000
Pr 0.5000 0.0000 0.7592
Pr 0.0000 0.5000 0.2408



A plane-wave DFT calculation with PBE-GGA was carried out for Sm5PaIr4 after structural relaxation.

Output
**Energy of formation**: -629.5 meV/atom
**Total DFT energy (no corrections)**: -7.4831 eV per atom
**V**: 27.78 A^3/atom
**SG**: C2/m, No. 12
**DOS(E_F)**: 0.587 states/eV/atom
**Size of the total moment**: 0.000 μB per cell

Cell lengths 4.1128, 7.9251, 9.1229 Å; angles 106.05, 103.03, 90.00 degrees
Positions (direct):
Pa 0.5000 0.0000 0.0000
Ir 0.6654 0.1064 0.3308
Sm 0.8316 0.1404 0.6632
Sm 0.5000 0.5000 0.0000
Sm 0.8371 0.6584 0.6742
Sm 0.1684 0.8596 0.3368
Sm 0.1629 0.3416 0.3258
Ir 0.3346 0.8936 0.6692
Ir 0.9990 0.2425 0.9980
Ir 0.0010 0.7575 0.0020



A plane-wave DFT calculation with PBE-GGA was carried out for Tb2MgSn after structural relaxation.

Output
**Energy of formation**: 58.6 meV/atom
**Total DFT energy (no corrections)**: -3.6559 eV per atom
**V**: 30.09 A^3/atom
**SG**: R-3m, No. 166
**DOS(E_F)**: 1.001 states/eV/atom
**Size of the total moment**: 0.000 μB per cell

Cell lengths 3.4647, 3.4647, 11.7507 Å; angles 81.52, 81.52, 60.00 degrees
Positions (direct):
Tb 0.0903 0.0903 0.7292
Mg 0.5000 0.5000 0.5000
Sn 0.0000 0.0000 0.0000
Tb 0.9097 0.9097 0.2708



A plane-wave DFT calculation with PBE-GGA was carried out for Tm2TiSe after structural relaxation.

Output
**E_form (uncorrected)**: -228 meV/atom
**Total DFT energy (no corrections)**: -5.3087 eV per atom
**V**: 25.97 A^3/atom
**SG**: R-3m, No. 166
**DOS(E_F)**: 0.729 states/eV/atom
**Size of the total moment**: 1.738 μB per cell

Cell lengths 3.5301, 3.5301, 9.8391 Å; angles 79.67, 79.67, 60.00 degrees
Each line ends with the local moment (μB).
Positions (direct):
Tm 0.1014 0.1014 0.6958  0.06
Se 0.5000 0.5000 0.5000  -0.01
Ti 0.0000 0.0000 0.0000  1.31
Tm 0.8986 0.8986 0.3042  0.06



Which value of DOS(E_F) does entry 7 give?
0.055 states/eV/atom



What is the formula in the eighth record?
ScAlNi